<P>
This record from Alexandria via LeMat-Bulk describes VMoIN2 after structural relaxation. The functional is PBE.

Calculated values
Density of states at the Fermi level ... 0.594 states/eV per atom

Cell: 3.9030 3.9030 5.5341 Å, 90.00 90.00 90.00°
Site moments in Bohr magnetons follow the coordinates.
Positions (direct):
N 0.5000 0.0000 0.0000  -0.42
N 0.0000 0.5000 0.0000  -0.42
Mo 0.5000 0.5000 0.5000  3.04
I 0.0000 0.0000 0.5000  0.00
V 0.0000 0.0000 0.0000  0.92

<Q>
This record from Alexandria via LeMat-Bulk describes VMoIN2 after structural relaxation. The functional is PBE.

Calculated values
Density of states at the Fermi level ... 0.675 states/eV per atom

Cell: 3.9622 3.9622 5.7579 Å, 90.00 90.00 90.00°
Site moments in Bohr magnetons follow the coordinates.
Positions (direct):
Mo 0.0000 0.0000 0.0000  0.06
V 0.5000 0.5000 0.5000  3.00
N 0.0000 0.5000 0.0000  -0.06
N 0.5000 0.0000 0.0000  -0.06
I 0.0000 0.0000 0.5000  -0.02

Least stable of them? <P>.

<P>
This record from Alexandria via LeMat-Bulk describes ZnMoI2N after structural relaxation. The functional is PBE.

Calculated values
Density of states at the Fermi level ... 0.687 states/eV per atom

Cell: 5.6727 5.6727 3.8415 Å, 90.00 90.00 90.00°
Site moments in Bohr magnetons follow the coordinates.
Positions (direct):
N 0.0000 0.0000 0.5000  -0.09
I 0.5000 0.0000 0.0000  0.00
I 0.0000 0.5000 0.0000  0.00
Zn 0.5000 0.5000 0.5000  -0.04
Mo 0.0000 0.0000 0.0000  0.86

<Q>
This record from Alexandria via LeMat-Bulk describes ZnMoI2N after structural relaxation. The functional is PBE.

Calculated values
Density of states at the Fermi level ... 1.637 states/eV per atom

Cell: 5.7537 5.7537 3.7125 Å, 90.00 90.00 90.00°
Site moments in Bohr magnetons follow the coordinates.
Positions (direct):
Zn 0.0000 0.0000 0.0000  0.00
N 0.0000 0.0000 0.5000  0.05
I 0.0000 0.5000 0.0000  -0.03
I 0.5000 0.0000 0.0000  -0.03
Mo 0.5000 0.5000 0.5000  3.60

Least stable of them? <Q>.

<P>
This record from Alexandria via LeMat-Bulk describes ZrMoIN2 after structural relaxation. The functional is PBE.

Calculated values
Density of states at the Fermi level ... 0.624 states/eV per atom

Cell: 4.0387 4.0387 5.3999 Å, 90.00 90.00 90.00°
Positions (direct):
N 0.5000 0.0000 0.0000
N 0.0000 0.5000 0.0000
Mo 0.0000 0.0000 0.0000
I 0.0000 0.0000 0.5000
Zr 0.5000 0.5000 0.5000

<Q>
This record from Alexandria via LeMat-Bulk describes ZrMoIN2 after structural relaxation. The functional is PBE.

Calculated values
Density of states at the Fermi level ... 0.579 states/eV per atom

Cell: 4.2197 4.2197 6.0216 Å, 90.00 90.00 90.00°
Site moments in Bohr magnetons follow the coordinates.
Positions (direct):
N 0.5000 0.0000 0.0000  -0.23
N 0.0000 0.5000 0.0000  -0.23
Mo 0.5000 0.5000 0.5000  3.62
I 0.0000 0.0000 0.5000  0.01
Zr 0.0000 0.0000 0.0000  0.04

Least stable of them? <Q>.

<P>
This record from Alexandria via LeMat-Bulk describes Na3MoI after structural relaxation. The functional is PBE.

Calculated values
Density of states at the Fermi level ... 0.456 states/eV per atom

Cell: 6.1085 6.1085 6.1085 Å, 90.00 90.00 90.00°
Site moments in Bohr magnetons follow the coordinates.
Positions (direct):
Mo 0.0000 0.0000 0.0000  3.97
I 0.5000 0.5000 0.5000  0.05
Na 0.0000 0.5000 0.0000  0.03
Na 0.0000 0.0000 0.5000  0.01
Na 0.5000 0.0000 0.0000  0.08

<Q>
This record from Alexandria via LeMat-Bulk describes Na3MoI after structural relaxation. The functional is PBE.

Calculated values
Density of states at the Fermi level ... 0.519 states/eV per atom

Cell: 5.9472 5.9472 5.9472 Å, 90.00 90.00 90.00°
Site moments in Bohr magnetons follow the coordinates.
Positions (direct):
Mo 0.5000 0.5000 0.5000  3.94
Na 0.5000 0.0000 0.0000  0.00
Na 0.0000 0.5000 0.0000  0.01
Na 0.0000 0.0000 0.5000  0.01
I 0.0000 0.0000 0.0000  0.03

Least stable of them? <P>.

<P>
This record from Alexandria via LeMat-Bulk describes Na2MoI after structural relaxation. The functional is PBE.

Calculated values
Density of states at the Fermi level ... 0.696 states/eV per atom

Cell: 8.9426 8.9426 7.0454 Å, 50.61 50.61 90.00°
Site moments in Bohr magnetons follow the coordinates.
Positions (direct):
Mo 0.5000 0.5000 0.0000  3.58
Mo 0.2500 0.7500 0.5000  3.58
I 0.7500 0.2500 0.5000  0.02
I 0.0000 0.0000 0.0000  0.02
Na 0.6410 0.1250 0.2500  0.00
Na 0.1090 0.6250 0.2500  0.00
Na 0.8750 0.8910 0.7500  -0.01
Na 0.3750 0.3590 0.7500  0.00

<Q>
This record from Alexandria via LeMat-Bulk describes Na2MoI after structural relaxation. The functional is PBE.

Calculated values
Density of states at the Fermi level ... 0.494 states/eV per atom

Cell: 5.6577 5.6577 5.6577 Å, 60.00 60.00 60.00°
Site moments in Bohr magnetons follow the coordinates.
Positions (direct):
Na 0.2500 0.2500 0.2500  0.00
Na 0.7500 0.7500 0.7500  0.00
I 0.5000 0.5000 0.5000  0.09
Mo 0.0000 0.0000 0.0000  3.88

Least stable of them? <Q>.